# Sm4Dy2Ho3

Crystalline Sm4Dy2Ho3 at its relaxed geometry (PBE, the Alexandria database).

Properties
formation energy	0.091	eV per atom
ΔE to the lowest computed polymorph	0.037	eV per atom

Lattice parameters (Å, degrees): 10.2033 10.2033 5.9830 95.98 95.98 69.74
With the nearest neighbours (Å) after each atom.
Fractional coordinates of all 18 atoms:
1 Sm 0.0467 0.8261 0.9537  3 Sm 3.34-3.46, 4 Ho 3.40-3.52, 1 Dy 3.64
2 Sm 0.1623 0.3810 0.1180  2 Dy 3.28-3.43, 4 Ho 3.40-3.51, 2 Sm 3.46-3.61
3 Sm 0.1739 0.9533 0.5463  3 Sm 3.34-3.46, 4 Ho 3.40-3.52, 1 Dy 3.64
4 Sm 0.3810 0.1623 0.6180  2 Dy 3.28-3.43, 4 Ho 3.40-3.51, 2 Sm 3.46-3.61
5 Sm 0.6190 0.8377 0.3820  2 Dy 3.28-3.43, 4 Ho 3.40-3.51, 2 Sm 3.46-3.61
6 Sm 0.8261 0.0467 0.4537  3 Sm 3.34-3.46, 4 Ho 3.40-3.52, 1 Dy 3.64
7 Sm 0.8377 0.6190 0.8820  2 Dy 3.28-3.43, 4 Ho 3.40-3.51, 2 Sm 3.46-3.61
8 Sm 0.9533 0.1739 0.0463  3 Sm 3.34-3.46, 4 Ho 3.40-3.52, 1 Dy 3.64
9 Dy 0.2905 0.5040 0.7079  3 Sm 3.28-3.64, 4 Ho 3.41-3.51, 1 Dy 3.41
10 Dy 0.4960 0.7095 0.7921  3 Sm 3.28-3.64, 4 Ho 3.41-3.51, 1 Dy 3.41
11 Dy 0.5040 0.2905 0.2079  3 Sm 3.28-3.64, 4 Ho 3.41-3.51, 1 Dy 3.41
12 Dy 0.7095 0.4960 0.2921  3 Sm 3.28-3.64, 4 Ho 3.41-3.51, 1 Dy 3.41
13 Ho 0.0156 0.3201 0.5816  7 Sm 3.40-3.52, 1 Dy 3.41, 1 Ho 3.80
14 Ho 0.3201 0.0156 0.0816  7 Sm 3.40-3.52, 1 Dy 3.41, 1 Ho 3.80
15 Ho 0.3486 0.6514 0.2500  2 Sm 3.40, 6 Dy 3.45-3.51
16 Ho 0.6514 0.3486 0.7500  2 Sm 3.40, 6 Dy 3.45-3.51
17 Ho 0.6799 0.9844 0.9184  7 Sm 3.40-3.52, 1 Dy 3.41, 1 Ho 3.80
18 Ho 0.9844 0.6799 0.4184  7 Sm 3.40-3.52, 1 Dy 3.41, 1 Ho 3.80